Material: SrPm3Cu
Method: DFT, PBE-GGA
State: optimized geometry

Output
**Energy relative to the elements**: 134 meV/atom

Unit cell a=5.649 b=5.649 c=5.649 alpha=90.00 beta=90.00 gamma=90.00
Positions (direct):
1 Sr 0.000 0.000 0.000
2 Pm 0.000 0.500 0.500
3 Pm 0.500 0.000 0.500
4 Pm 0.500 0.500 0.000
5 Cu 0.500 0.500 0.500